DFT (PBE) results for an optimized crystal structure of AcLa2Tb2Er2.

Unit cell a=11.6367 b=5.2060 c=8.1308 alpha=90.00 beta=98.46 gamma=90.00
Last column: nearest neighbours and their distance in Å.
Space group C2/m (No. 12)
One atom of each set of equivalent atoms:
1 Ac 0.0000 0.0000 0.0000 [2 per cell]  2 Er 3.66, 6 La 3.69-3.70, 4 Tb 3.74
2 La 0.2150 0.5000 0.1517 [4 per cell]  3 Er 3.55-3.65, 4 Tb 3.65-3.77, 3 Ac 3.69-3.70, 2 La 3.76
3 Tb 0.0744 0.5000 0.7031 [4 per cell]  1 Tb 3.50, 5 Er 3.57-3.67, 4 La 3.65-3.77, 2 Ac 3.74
4 Er 0.1414 0.0000 0.4323 [4 per cell]  3 La 3.55-3.65, 5 Tb 3.57-3.67, 3 Er 3.62-3.68, 1 Ac 3.66

ΔH_f (0 K) ... 0.047 eV/atom
Crystal system ... monoclinic